# 1
This record from Alexandria via LeMat-Bulk describes a relaxed K2HoZrS4 crystal. The functional is PBE.

Results
ΔE_f (raw) (eV per atom): -1.667
DFT total energy (eV per atom): -5.6460
Symmetry: No. 10
Volume (A^3/atom): 24.33

a b c (Å): 6.779 3.880 7.727
angles (deg): 90.00 106.74 90.00
Atoms (fractional coordinates):
K  0.000  0.000  0.000
K  0.500  0.500  0.000
Ho  0.000  0.500  0.500
Zr  0.500  0.000  0.500
S  0.244  0.000  0.703
S  0.276  0.500  0.300
S  0.724  0.500  0.700
S  0.756  0.000  0.297

# 2
This record from Alexandria via LeMat-Bulk describes a relaxed KHoSb2 crystal. The functional is PBE.

Results
ΔE_f (raw) (eV per atom): -0.496
DFT total energy (eV per atom): -3.9762
Symmetry: No. 166
Volume (A^3/atom): 33.21
Distance to the lowest polymorph of the same formula (eV per atom): 0.1263

a b c (Å): 9.884 9.884 9.884
angles (deg): 23.32 23.32 23.32
Atoms (fractional coordinates):
K  0.000  0.000  0.000
Ho  0.500  0.500  0.500
Sb  0.240  0.240  0.240
Sb  0.760  0.760  0.760

# 3
This record from Alexandria via LeMat-Bulk describes a relaxed KHoSb2 crystal. The functional is PBE.

Results
ΔE_f (raw) (eV per atom): -0.623
DFT total energy (eV per atom): -4.1025
Symmetry: No. 123
Volume (A^3/atom): 31.98
Distance to the lowest polymorph of the same formula (eV per atom): 0.0000

a b c (Å): 4.093 4.093 7.637
angles (deg): 90.00 90.00 90.00
Atoms (fractional coordinates):
K  0.000  0.000  0.000
Ho  0.000  0.000  0.500
Sb  0.500  0.500  0.306
Sb  0.500  0.500  0.694

# 4
This record from Alexandria via LeMat-Bulk describes a relaxed K3HoSb2Se6 crystal. The functional is PBE.

Results
ΔE_f (raw) (eV per atom): -1.053
DFT total energy (eV per atom): -4.1378
Symmetry: No. 12
Volume (A^3/atom): 29.86

a b c (Å): 7.339 7.339 8.061
angles (deg): 98.72 98.72 120.00
Atoms (fractional coordinates):
K  0.000  0.000  0.000
K  0.331  0.669  0.000
K  0.669  0.331  0.000
Ho  0.500  0.500  0.500
Sb  0.166  0.834  0.500
Sb  0.834  0.166  0.500
Se  0.102  0.432  0.295
Se  0.238  0.238  0.706
Se  0.432  0.102  0.295
Se  0.568  0.898  0.705
Se  0.762  0.762  0.294
Se  0.898  0.568  0.705

# 5
This record from Alexandria via LeMat-Bulk describes a relaxed K3Ho3SbSe8 crystal. The functional is PBE.

Results
ΔE_f (raw) (eV per atom): -1.436
DFT total energy (eV per atom): -4.7040
Symmetry: No. 166
Volume (A^3/atom): 31.04

a b c (Å): 9.173 9.173 9.173
angles (deg): 53.72 53.72 53.72
Atoms (fractional coordinates):
K  0.000  0.500  0.500
K  0.500  0.000  0.500
K  0.500  0.500  0.000
Ho  0.000  0.000  0.500
Ho  0.000  0.500  0.000
Ho  0.500  0.000  0.000
Sb  0.500  0.500  0.500
Se  0.234  0.234  0.234
Se  0.239  0.730  0.730
Se  0.270  0.270  0.761
Se  0.270  0.761  0.270
Se  0.730  0.239  0.730
Se  0.730  0.730  0.239
Se  0.761  0.270  0.270
Se  0.766  0.766  0.766

# 6
This record from Alexandria via LeMat-Bulk describes a relaxed K3HoSb2Te6 crystal. The functional is PBE.

Results
ΔE_f (raw) (eV per atom): -0.815
DFT total energy (eV per atom): -3.7285
Symmetry: No. 12
Volume (A^3/atom): 36.37

a b c (Å): 7.820 7.820 8.644
angles (deg): 98.66 98.66 120.00
Atoms (fractional coordinates):
K  0.000  0.000  0.000
K  0.332  0.668  0.000
K  0.668  0.332  0.000
Ho  0.500  0.500  0.500
Sb  0.166  0.834  0.500
Sb  0.834  0.166  0.500
Te  0.099  0.432  0.295
Te  0.236  0.236  0.706
Te  0.432  0.099  0.295
Te  0.568  0.901  0.705
Te  0.764  0.764  0.294
Te  0.901  0.568  0.705

# 7
This record from Alexandria via LeMat-Bulk describes a relaxed KHo2Sc crystal. The functional is PBE.

Results
DFT total energy (eV per atom): -3.8856
Symmetry: No. 166
Volume (A^3/atom): 34.02

a b c (Å): 13.028 13.028 13.028
angles (deg): 15.41 15.41 15.41
Atoms (fractional coordinates):
K  0.000  0.000  0.000
Ho  0.099  0.099  0.099
Ho  0.901  0.901  0.901
Sc  0.500  0.500  0.500

# 8
This record from Alexandria via LeMat-Bulk describes a relaxed K4Ho3ScSe8 crystal. The functional is PBE.

Results
ΔE_f (raw) (eV per atom): -1.721
DFT total energy (eV per atom): -4.9921
Symmetry: No. 166
Volume (A^3/atom): 28.61

a b c (Å): 9.041 9.041 9.041
angles (deg): 54.68 54.68 54.68
Atoms (fractional coordinates):
K  0.000  0.000  0.000
K  0.000  0.500  0.500
K  0.500  0.000  0.500
K  0.500  0.500  0.000
Ho  0.000  0.000  0.500
Ho  0.000  0.500  0.000
Ho  0.500  0.000  0.000
Sc  0.500  0.500  0.500
Se  0.235  0.235  0.235
Se  0.243  0.729  0.729
Se  0.271  0.271  0.757
Se  0.271  0.757  0.271
Se  0.729  0.243  0.729
Se  0.729  0.729  0.243
Se  0.757  0.271  0.271
Se  0.765  0.765  0.765